DFT (PBE-GGA) results for an optimized crystal structure of CaMgP2.

## Properties
ΔH_f (0 K)	-2.13	eV/f.u.

The structure in CIF format:
```
data_CaMgP2
_chemical_formula_sum 'Ca2 Mg2 P4'
_cell_length_a 7.792
_cell_length_b 3.811
_cell_length_c 5.880
_cell_angle_alpha 90.00
_cell_angle_beta 107.50
_cell_angle_gamma 90.00
_symmetry_space_group_name_H-M 'C 1 2/m 1'
_symmetry_Int_Tables_number 12
loop_
_symmetry_equiv_pos_as_xyz
'x,y,z'
'-x,-y,-z'
'-x,y,-z'
'x,-y,z'
'x+1/2,y+1/2,z'
'-x+1/2,-y+1/2,-z'
'-x+1/2,y+1/2,-z'
'x+1/2,-y+1/2,z'
loop_
_atom_site_label
_atom_site_type_symbol
_atom_site_fract_x
_atom_site_fract_y
_atom_site_fract_z
_atom_site_occupancy
Ca1 Ca 0.000 0.000 0.000 1
Mg1 Mg 0.000 0.500 0.500 1
P1 P 0.243 0.000 0.701 1
```

DFT (PBE-GGA) results for an optimized crystal structure of CaMg3P.

## Properties
ΔH_f (0 K)	6.47	eV/f.u.

The structure in CIF format:
```
data_CaMg3P
_chemical_formula_sum 'Ca1 Mg3 P1'
_cell_length_a 5.964
_cell_length_b 5.964
_cell_length_c 5.964
_cell_angle_alpha 90.00
_cell_angle_beta 90.00
_cell_angle_gamma 90.00
_symmetry_space_group_name_H-M 'P m -3 m'
_symmetry_Int_Tables_number 221
_symmetry_space_group_name_Hall '-P 4 2 3'
loop_
_atom_site_label
_atom_site_type_symbol
_atom_site_fract_x
_atom_site_fract_y
_atom_site_fract_z
_atom_site_occupancy
Ca1 Ca 0.000 0.000 0.000 1
Mg1 Mg 0.000 0.000 0.500 1
P1 P 0.500 0.500 0.500 1
```

DFT (PBE-GGA) results for an optimized crystal structure of CaMgP2.

## Properties
ΔH_f (0 K)	-1.62	eV/f.u.

The structure in CIF format:
```
data_CaMgP2
_chemical_formula_sum 'Ca2 Mg2 P4'
_cell_length_a 3.940
_cell_length_b 3.940
_cell_length_c 10.050
_cell_angle_alpha 90.00
_cell_angle_beta 90.00
_cell_angle_gamma 90.00
_symmetry_space_group_name_H-M 'I -4 m 2'
_symmetry_Int_Tables_number 119
_symmetry_space_group_name_Hall 'I -4 -2'
loop_
_atom_site_label
_atom_site_type_symbol
_atom_site_fract_x
_atom_site_fract_y
_atom_site_fract_z
_atom_site_occupancy
Ca1 Ca 0.000 0.000 0.000 1
Mg1 Mg 0.000 0.500 0.750 1
P1 P 0.000 0.000 0.500 1
P2 P 0.000 0.500 0.250 1
```

DFT (PBE-GGA) results for an optimized crystal structure of Ca2MgP.

## Properties
ΔH_f (0 K)	-2.21	eV/f.u.

The structure in CIF format:
```
data_Ca2MgP
_chemical_formula_sum 'Ca2 Mg1 P1'
_cell_length_a 3.751
_cell_length_b 3.783
_cell_length_c 7.098
_cell_angle_alpha 90.00
_cell_angle_beta 90.00
_cell_angle_gamma 90.00
_symmetry_space_group_name_H-M 'P m m m'
_symmetry_Int_Tables_number 47
loop_
_symmetry_equiv_pos_as_xyz
'x,y,z'
'-x,-y,-z'
'-x,-y,z'
'x,y,-z'
'x,-y,-z'
'-x,y,z'
'-x,y,-z'
'x,-y,z'
loop_
_atom_site_label
_atom_site_type_symbol
_atom_site_fract_x
_atom_site_fract_y
_atom_site_fract_z
_atom_site_occupancy
Ca1 Ca 0.000 0.000 0.206 1
Mg1 Mg 0.500 0.500 0.500 1
P1 P 0.500 0.500 0.000 1
```

DFT (PBE-GGA) results for an optimized crystal structure of Ca2MgP.

## Properties
ΔH_f (0 K)	-1.30	eV/f.u.

The structure in CIF format:
```
data_Ca2MgP
_chemical_formula_sum 'Ca8 Mg4 P4'
_cell_length_a 7.413
_cell_length_b 7.413
_cell_length_c 7.413
_cell_angle_alpha 90.00
_cell_angle_beta 90.00
_cell_angle_gamma 90.00
_symmetry_space_group_name_H-M 'F m -3 m'
_symmetry_Int_Tables_number 225
_symmetry_space_group_name_Hall '-F 4 2 3'
loop_
_atom_site_label
_atom_site_type_symbol
_atom_site_fract_x
_atom_site_fract_y
_atom_site_fract_z
_atom_site_occupancy
Ca1 Ca 0.250 0.250 0.250 1
Mg1 Mg 0.000 0.000 0.000 1
P1 P 0.000 0.000 0.500 1
```

DFT (PBE-GGA) results for an optimized crystal structure of CaMgP2.

## Properties
ΔH_f (0 K)	-1.76	eV/f.u.

The structure in CIF format:
```
data_CaMgP2
_chemical_formula_sum 'Ca3 Mg3 P6'
_cell_length_a 3.6605
_cell_length_b 3.6605
_cell_length_c 22.1609
_cell_angle_alpha 90.00
_cell_angle_beta 90.00
_cell_angle_gamma 120.00
_symmetry_space_group_name_H-M 'R -3 m'
_symmetry_Int_Tables_number 166
_symmetry_space_group_name_Hall '-R 3 2"'
loop_
_atom_site_label
_atom_site_type_symbol
_atom_site_fract_x
_atom_site_fract_y
_atom_site_fract_z
_atom_site_occupancy
Ca1 Ca 0.0000 0.0000 0.0000 1
Mg1 Mg 0.0000 0.0000 0.5000 1
P1 P 0.0000 0.0000 0.2428 1
```

DFT (PBE-GGA) results for an optimized crystal structure of Ca2MgP.

## Properties
ΔH_f (0 K)	-1.34	eV/f.u.

The structure in CIF format:
```
data_Ca2MgP
_chemical_formula_sum 'Ca2 Mg1 P1'
_cell_length_a 3.576
_cell_length_b 3.576
_cell_length_c 8.518
_cell_angle_alpha 90.00
_cell_angle_beta 90.00
_cell_angle_gamma 90.00
_symmetry_space_group_name_H-M 'P 4 m m'
_symmetry_Int_Tables_number 99
loop_
_symmetry_equiv_pos_as_xyz
'x,y,z'
'-y,x,z'
'-x,-y,z'
'y,-x,z'
'-x,y,z'
'y,x,z'
'x,-y,z'
'-y,-x,z'
loop_
_atom_site_label
_atom_site_type_symbol
_atom_site_fract_x
_atom_site_fract_y
_atom_site_fract_z
_atom_site_occupancy
Ca1 Ca 0.000 0.000 0.000 1
Ca2 Ca 0.500 0.500 0.382 1
Mg1 Mg 0.000 0.000 0.652 1
P1 P 0.500 0.500 0.791 1
```

DFT (PBE-GGA) results for an optimized crystal structure of Ca5MgP4.

## Properties
ΔH_f (0 K)	-9.34	eV/f.u.

The structure in CIF format:
```
data_Ca5MgP4
_chemical_formula_sum 'Ca10 Mg2 P8'
_cell_length_a 4.139
_cell_length_b 7.779
_cell_length_c 17.004
_cell_angle_alpha 90.00
_cell_angle_beta 90.00
_cell_angle_gamma 90.00
_symmetry_space_group_name_H-M 'I m m m'
_symmetry_Int_Tables_number 71
_symmetry_space_group_name_Hall '-I 2 2'
loop_
_atom_site_label
_atom_site_type_symbol
_atom_site_fract_x
_atom_site_fract_y
_atom_site_fract_z
_atom_site_occupancy
Ca1 Ca 0.000 0.000 0.000 1
Ca2 Ca 0.000 0.223 0.336 1
Mg1 Mg 0.000 0.500 0.000 1
P1 P 0.000 0.239 0.500 1
P2 P 0.000 0.500 0.220 1
```

DFT (PBE-GGA) results for an optimized crystal structure of CaMgP.

## Properties
ΔH_f (0 K)	-2.13	eV/f.u.

The structure in CIF format:
```
data_CaMgP
_chemical_formula_sum 'Ca4 Mg4 P4'
_cell_length_a 7.067
_cell_length_b 4.128
_cell_length_c 8.830
_cell_angle_alpha 90.00
_cell_angle_beta 90.00
_cell_angle_gamma 90.00
_symmetry_space_group_name_H-M 'P n m a'
_symmetry_Int_Tables_number 62
loop_
_symmetry_equiv_pos_as_xyz
'x,y,z'
'-x,-y,-z'
'-x+1/2,-y,z+1/2'
'x+1/2,y,-z+1/2'
'x+1/2,-y+1/2,-z+1/2'
'-x+1/2,y+1/2,z+1/2'
'-x,y+1/2,-z'
'x,-y+1/2,z'
loop_
_atom_site_label
_atom_site_type_symbol
_atom_site_fract_x
_atom_site_fract_y
_atom_site_fract_z
_atom_site_occupancy
Ca1 Ca 0.031 0.250 0.173 1
Mg1 Mg 0.139 0.250 0.561 1
P1 P 0.230 0.750 0.380 1
```

DFT (PBE-GGA) results for an optimized crystal structure of CaMgP2.

## Properties
ΔH_f (0 K)	-1.88	eV/f.u.

The structure in CIF format:
```
data_CaMgP2
_chemical_formula_sum 'Ca1 Mg1 P2'
_cell_length_a 4.522
_cell_length_b 4.522
_cell_length_c 3.774
_cell_angle_alpha 90.00
_cell_angle_beta 90.00
_cell_angle_gamma 90.00
_symmetry_space_group_name_H-M 'P 4/m m m'
_symmetry_Int_Tables_number 123
_symmetry_space_group_name_Hall '-P 4 2'
loop_
_atom_site_label
_atom_site_type_symbol
_atom_site_fract_x
_atom_site_fract_y
_atom_site_fract_z
_atom_site_occupancy
Ca1 Ca 0.000 0.000 0.000 1
Mg1 Mg 0.500 0.500 0.000 1
P1 P 0.000 0.500 0.500 1
```

DFT (PBE-GGA) results for an optimized crystal structure of Ca2MgP.

## Properties
ΔH_f (0 K)	-1.36	eV/f.u.

The structure in CIF format:
```
data_Ca2MgP
_chemical_formula_sum 'Ca4 Mg2 P2'
_cell_length_a 4.882
_cell_length_b 4.882
_cell_length_c 8.408
_cell_angle_alpha 90.00
_cell_angle_beta 90.00
_cell_angle_gamma 90.00
_symmetry_space_group_name_H-M 'I 4/m m m'
_symmetry_Int_Tables_number 139
_symmetry_space_group_name_Hall '-I 4 2'
loop_
_atom_site_label
_atom_site_type_symbol
_atom_site_fract_x
_atom_site_fract_y
_atom_site_fract_z
_atom_site_occupancy
Ca1 Ca 0.000 0.500 0.250 1
Mg1 Mg 0.000 0.000 0.000 1
P1 P 0.000 0.000 0.500 1
```

DFT (PBE-GGA) results for an optimized crystal structure of CaMgP.

## Properties
ΔH_f (0 K)	-1.77	eV/f.u.

The structure in CIF format:
```
data_CaMgP
_chemical_formula_sum 'Ca4 Mg4 P4'
_cell_length_a 6.510
_cell_length_b 6.510
_cell_length_c 6.510
_cell_angle_alpha 90.00
_cell_angle_beta 90.00
_cell_angle_gamma 90.00
_symmetry_space_group_name_H-M 'F -4 3 m'
_symmetry_Int_Tables_number 216
_symmetry_space_group_name_Hall 'F -4 2 3'
loop_
_atom_site_label
_atom_site_type_symbol
_atom_site_fract_x
_atom_site_fract_y
_atom_site_fract_z
_atom_site_occupancy
Ca1 Ca 0.000 0.000 0.000 1
Mg1 Mg 0.000 0.000 0.500 1
P1 P 0.250 0.250 0.750 1
```